Record 1
# AgAs4Os (GGA-PBEsol, relaxed)
# DOS(E_F) in states/eV/f.u.: 6.1
# DFT formation energy in eV per atom: 1.017
data_AgAs4Os
_chemical_formula_sum 'Ag4 As16 Os4'
_space_group_name_H-M_alt 'F -4 3 m'
_space_group_IT_number 216
_space_group_name_Hall 'F -4 2 3'
_cell_length_a 7.523
_cell_length_b 7.523
_cell_length_c 7.523
_cell_angle_alpha 90.00
_cell_angle_beta 90.00
_cell_angle_gamma 90.00
loop_
_atom_site_label
_atom_site_type_symbol
_atom_site_fract_x
_atom_site_fract_y
_atom_site_fract_z
_atom_site_occupancy
Ag1 Ag 0.000 0.000 0.000 1
As1 As 0.125 0.125 0.625 1
Os1 Os 0.250 0.250 0.250 1

Record 2
# Ag2AsOs (GGA-PBEsol, relaxed)
# DOS(E_F) in states/eV/f.u.: 2.4
# DFT formation energy in eV per atom: 0.262
data_Ag2AsOs
_chemical_formula_sum 'Ag6 As3 Os3'
_space_group_name_H-M_alt 'R 3 m'
_space_group_IT_number 160
_space_group_name_Hall 'R 3 -2"'
_cell_length_a 2.9207
_cell_length_b 2.9207
_cell_length_c 26.4598
_cell_angle_alpha 90.00
_cell_angle_beta 90.00
_cell_angle_gamma 120.00
loop_
_atom_site_label
_atom_site_type_symbol
_atom_site_fract_x
_atom_site_fract_y
_atom_site_fract_z
_atom_site_occupancy
Ag1 Ag 0.0000 0.0000 0.0000 1
Ag2 Ag 0.0000 0.0000 0.2474 1
As1 As 0.0000 0.0000 0.7600 1
Os1 Os 0.0000 0.0000 0.4938 1

Record 3
# AgAs2P (GGA-PBEsol, relaxed)
# DOS(E_F) in states/eV/f.u.: 1.5
# DFT formation energy in eV per atom: 0.406
data_AgAs2P
_chemical_formula_sum 'Ag2 As4 P2'
_space_group_name_H-M_alt 'C m m m'
_space_group_IT_number 65
_space_group_name_Hall '-C 2 2'
_cell_length_a 3.117
_cell_length_b 4.647
_cell_length_c 9.394
_cell_angle_alpha 90.00
_cell_angle_beta 90.00
_cell_angle_gamma 90.00
loop_
_atom_site_label
_atom_site_type_symbol
_atom_site_fract_x
_atom_site_fract_y
_atom_site_fract_z
_atom_site_occupancy
Ag1 Ag 0.000 0.000 0.000 1
As1 As 0.000 0.500 0.260 1
P1 P 0.000 0.000 0.500 1

Record 4
# AgAsP (GGA-PBEsol, relaxed)
# DOS(E_F) in states/eV/f.u.: 1.4
# DFT formation energy in eV per atom: 0.571
data_AgAsP
_chemical_formula_sum 'Ag2 As2 P2'
_space_group_name_H-M_alt 'P 63/m m c'
_space_group_IT_number 194
_space_group_name_Hall '-P 6c 2c'
_cell_length_a 4.6863
_cell_length_b 4.6863
_cell_length_c 5.4281
_cell_angle_alpha 90.00
_cell_angle_beta 90.00
_cell_angle_gamma 120.00
loop_
_atom_site_label
_atom_site_type_symbol
_atom_site_fract_x
_atom_site_fract_y
_atom_site_fract_z
_atom_site_occupancy
Ag1 Ag 0.3333 0.6667 0.2500 1
As1 As 0.3333 0.6667 0.7500 1
P1 P 0.0000 0.0000 0.0000 1

- Which formula does entry 2 have?
  Ag2AsOs